(1)
# PuTl5Te5 | Alexandria via LeMat-Bulk | GGA-PBE | relaxed
data_PuTl5Te5
_chemical_formula_sum 'Pu2 Tl10 Te10'
_cell_length_a 15.235
_cell_length_b 6.419
_cell_length_c 9.556
_cell_angle_alpha 90.00
_cell_angle_beta 109.68
_cell_angle_gamma 90.00
_symmetry_space_group_name_H-M 'C 1 2/m 1'
_symmetry_Int_Tables_number 12
loop_
_symmetry_equiv_pos_as_xyz
'x,y,z'
'-x,-y,-z'
'-x,y,-z'
'x,-y,z'
'x+1/2,y+1/2,z'
'-x+1/2,-y+1/2,-z'
'-x+1/2,y+1/2,-z'
'x+1/2,-y+1/2,z'
loop_
_atom_site_label
_atom_site_fract_x
_atom_site_fract_y
_atom_site_fract_z
Pu1 0.000 0.000 0.000
Tl1 0.000 0.000 0.500
Tl2 0.177 0.500 0.845
Tl3 0.188 0.500 0.313
Te1 0.000 0.500 0.000
Te2 0.150 0.000 0.309
Te3 0.150 0.000 0.848
# * mass density: 7.2 Mg/m³
# * raw formation energy: -0.377 eV per atom

---

(2)
# Ce2Sb4Pd | Alexandria via LeMat-Bulk | GGA-PBE | relaxed
data_Ce2Sb4Pd
_chemical_formula_sum 'Ce2 Sb4 Pd1'
_cell_length_a 4.448
_cell_length_b 4.448
_cell_length_c 9.395
_cell_angle_alpha 90.00
_cell_angle_beta 90.00
_cell_angle_gamma 90.00
_symmetry_space_group_name_H-M 'P -4 m 2'
_symmetry_Int_Tables_number 115
loop_
_symmetry_equiv_pos_as_xyz
'x,y,z'
'y,-x,-z'
'-x,-y,z'
'-y,x,-z'
'-x,y,z'
'-y,-x,-z'
'x,-y,z'
'y,x,-z'
loop_
_atom_site_label
_atom_site_fract_x
_atom_site_fract_y
_atom_site_fract_z
Ce1 0.000 0.500 0.233
Sb1 0.000 0.000 0.500
Sb2 0.000 0.500 0.841
Sb3 0.500 0.500 0.500
Pd1 0.500 0.500 0.000
# * mass density: 7.8 Mg/m³
# * raw formation energy: -0.831 eV per atom

---

(3)
# PaTiIn2 | Alexandria via LeMat-Bulk | GGA-PBE | relaxed
data_PaTiIn2
_chemical_formula_sum 'Pa1 Ti1 In2'
_cell_length_a 3.040
_cell_length_b 3.040
_cell_length_c 9.407
_cell_angle_alpha 90.00
_cell_angle_beta 90.00
_cell_angle_gamma 90.00
_symmetry_space_group_name_H-M 'P 4/m m m'
_symmetry_Int_Tables_number 123
_symmetry_space_group_name_Hall '-P 4 2'
loop_
_atom_site_label
_atom_site_fract_x
_atom_site_fract_y
_atom_site_fract_z
Pa1 0.000 0.000 0.000
Ti1 0.000 0.000 0.500
In1 0.500 0.500 0.276
# * distance to the lowest polymorph of the same formula: 0.000 eV per atom
# * mass density: 9.7 Mg/m³
# * energy relative to the elements: -69 meV per atom

---

(4)
# Ba2AuCl | Alexandria via LeMat-Bulk | GGA-PBE | relaxed
data_Ba2AuCl
_chemical_formula_sum 'Ba4 Au2 Cl2'
_cell_length_a 5.042
_cell_length_b 6.680
_cell_length_c 8.344
_cell_angle_alpha 90.00
_cell_angle_beta 90.00
_cell_angle_gamma 90.00
_symmetry_space_group_name_H-M 'I m m m'
_symmetry_Int_Tables_number 71
_symmetry_space_group_name_Hall '-I 2 2'
loop_
_atom_site_label
_atom_site_fract_x
_atom_site_fract_y
_atom_site_fract_z
Ba1 0.000 0.000 0.242
Au1 0.000 0.500 0.000
Cl1 0.000 0.500 0.500
# * distance to the lowest polymorph of the same formula: 0.188 eV per atom
# * mass density: 6.0 Mg/m³
# * raw formation energy: -1.101 eV per atom

---

(5)
# CeP2Rh7Pb2 | Alexandria via LeMat-Bulk | GGA-PBE | relaxed
data_CeP2Rh7Pb2
_chemical_formula_sum 'Ce2 P4 Rh14 Pb4'
_cell_length_a 5.720
_cell_length_b 5.701
_cell_length_c 13.332
_cell_angle_alpha 90.00
_cell_angle_beta 95.92
_cell_angle_gamma 90.00
_symmetry_space_group_name_H-M 'C 1 2/m 1'
_symmetry_Int_Tables_number 12
loop_
_symmetry_equiv_pos_as_xyz
'x,y,z'
'-x,-y,-z'
'-x,y,-z'
'x,-y,z'
'x+1/2,y+1/2,z'
'-x+1/2,-y+1/2,-z'
'-x+1/2,y+1/2,-z'
'x+1/2,-y+1/2,z'
loop_
_atom_site_label
_atom_site_fract_x
_atom_site_fract_y
_atom_site_fract_z
Ce1 0.000 0.000 0.000
P1 0.058 0.500 0.245
Rh1 0.000 0.500 0.000
Rh2 0.113 0.500 0.415
Rh3 0.214 0.251 0.837
Pb1 0.105 0.000 0.382
# * mass density: 10.3 Mg/m³
# * energy relative to the elements: -440 meV per atom

---

(6)
# Tb2CBr2 | Alexandria via LeMat-Bulk | GGA-PBE | relaxed
data_Tb2CBr2
_chemical_formula_sum 'Tb4 C2 Br4'
_cell_length_a 6.566
_cell_length_b 3.787
_cell_length_c 11.032
_cell_angle_alpha 90.00
_cell_angle_beta 96.71
_cell_angle_gamma 90.00
_symmetry_space_group_name_H-M 'C 1 2/m 1'
_symmetry_Int_Tables_number 12
loop_
_symmetry_equiv_pos_as_xyz
'x,y,z'
'-x,-y,-z'
'-x,y,-z'
'x,-y,z'
'x+1/2,y+1/2,z'
'-x+1/2,-y+1/2,-z'
'-x+1/2,y+1/2,-z'
'x+1/2,-y+1/2,z'
loop_
_atom_site_label
_atom_site_fract_x
_atom_site_fract_y
_atom_site_fract_z
Tb1 0.191 0.000 0.123
C1 0.000 0.500 0.000
Br1 0.107 0.000 0.700
# * mass density: 6.0 Mg/m³
# * raw formation energy: -1.278 eV per atom

---

(7)
# Nd4AgRhAu2 | Alexandria via LeMat-Bulk | GGA-PBE | relaxed
data_Nd4AgRhAu2
_chemical_formula_sum 'Nd12 Ag3 Rh3 Au6'
_cell_length_a 5.2258
_cell_length_b 5.2258
_cell_length_c 25.3664
_cell_angle_alpha 90.00
_cell_angle_beta 90.00
_cell_angle_gamma 120.00
_symmetry_space_group_name_H-M 'R -3 m'
_symmetry_Int_Tables_number 166
_symmetry_space_group_name_Hall '-R 3 2"'
loop_
_atom_site_label
_atom_site_fract_x
_atom_site_fract_y
_atom_site_fract_z
Nd1 0.0000 0.0000 0.1181
Nd2 0.0000 0.0000 0.3689
Ag1 0.0000 0.0000 0.5000
Rh1 0.0000 0.0000 0.0000
Au1 0.0000 0.0000 0.2416
# * mass density: 9.8 Mg/m³
# * energy relative to the elements: -616 meV per atom

---

(8)
# LiLaZnS2 | Alexandria via LeMat-Bulk | GGA-PBE | relaxed
data_LiLaZnS2
_chemical_formula_sum 'Li1 La1 Zn1 S2'
_cell_length_a 5.434
_cell_length_b 5.434
_cell_length_c 6.977
_cell_angle_alpha 90.00
_cell_angle_beta 90.00
_cell_angle_gamma 90.00
_symmetry_space_group_name_H-M 'P 4/m m m'
_symmetry_Int_Tables_number 123
_symmetry_space_group_name_Hall '-P 4 2'
loop_
_atom_site_label
_atom_site_fract_x
_atom_site_fract_y
_atom_site_fract_z
Li1 0.000 0.000 0.000
La1 0.000 0.000 0.500
Zn1 0.500 0.500 0.000
S1 0.000 0.500 0.500
# * mass density: 2.2 Mg/m³
# * raw formation energy: -0.190 eV per atom